Tl2NiMo: optimized geometry, PBE.

It has space group F-43m (No. 216), with a = 6.7963 Å, b = 6.7963 Å, c = 6.7963 Å, α = 90.00°, β = 90.00° and γ = 90.00°. The distinct sites, in fractional coordinates, are Tl at (0.0000, 0.0000, 0.0000), Tl at (0.2500, 0.2500, 0.2500), Ni at (0.2500, 0.2500, 0.7500) and Mo at (0.0000, 0.0000, 0.5000).

As for the energy above the lowest structure with this stoichiometry: 501 meV per atom.